A plane-wave DFT calculation with PBE was carried out for a relaxed KGaFeRh2 crystal.

Summary:
Uncorrected energy   -15.029 eV/cell
Magnetization   0.42 μB per cell
V   107.9 Å³/cell

a = 4.618 Å, b = 4.618 Å, c = 5.060 Å
α = 90.00°, β = 90.00°, γ = 90.00°
Atoms (fractional coordinates):
K1 0.000 0.000 0.000
Ga1 0.000 0.000 0.500
Fe1 0.500 0.500 0.500
Rh1 0.000 0.500 0.000
Rh2 0.500 0.000 0.000